[1]
# TiFeTeN2 | Alexandria via LeMat-Bulk | PBE | relaxed
data_TiFeTeN2
_chemical_formula_sum 'Ti1 Fe1 Te1 N2'
_cell_length_a 3.8729
_cell_length_b 3.8729
_cell_length_c 5.8399
_cell_angle_alpha 90.00
_cell_angle_beta 90.00
_cell_angle_gamma 90.00
_space_group_name_H-M_alt 'P 1'
_space_group_IT_number 1
_space_group_name_Hall 'P 1'
loop_
_atom_site_label
_atom_site_fract_x
_atom_site_fract_y
_atom_site_fract_z
_atom_site_occupancy
Ti1 0.0000 0.0000 0.0000 1
Fe1 0.5000 0.5000 0.5000 1
Te1 0.0000 0.0000 0.5000 1
N1 0.0000 0.5000 0.0000 1
N2 0.5000 0.0000 0.0000 1
# E above lowest polymorph ... 0 meV/atom

=====

[2]
# SbMoOs2 | Alexandria via LeMat-Bulk | PBE | relaxed
data_SbMoOs2
_chemical_formula_sum 'Sb1 Mo1 Os2'
_cell_length_a 4.9022
_cell_length_b 4.9022
_cell_length_c 4.8153
_cell_angle_alpha 97.30
_cell_angle_beta 97.30
_cell_angle_gamma 34.74
_space_group_name_H-M_alt 'P 1'
_space_group_IT_number 1
_space_group_name_Hall 'P 1'
loop_
_atom_site_label
_atom_site_fract_x
_atom_site_fract_y
_atom_site_fract_z
_atom_site_occupancy
Sb1 0.0000 0.0000 0.0000 1
Mo1 0.5000 0.5000 0.5000 1
Os1 0.2376 0.2376 0.7275 1
Os2 0.7624 0.7624 0.2725 1
# E_tot ... -8.918 eV/atom

=====

[3]
# CaLa2In | Alexandria via LeMat-Bulk | PBE | relaxed
data_CaLa2In
_chemical_formula_sum 'Ca1 La2 In1'
_cell_length_a 7.1170
_cell_length_b 7.1170
_cell_length_c 5.5807
_cell_angle_alpha 113.00
_cell_angle_beta 113.00
_cell_angle_gamma 32.15
_space_group_name_H-M_alt 'P 1'
_space_group_IT_number 1
_space_group_name_Hall 'P 1'
loop_
_atom_site_label
_atom_site_fract_x
_atom_site_fract_y
_atom_site_fract_z
_atom_site_occupancy
Ca1 0.0000 0.0000 0.0000 1
La1 0.2162 0.2162 0.7160 1
La2 0.7838 0.7838 0.2840 1
In1 0.5000 0.5000 0.5000 1
# DFT formation energy ... -0.22 eV per atom
# E above lowest polymorph ... 23 meV/atom

=====

[4]
# Si2NiRh | Alexandria via LeMat-Bulk | PBE | relaxed
data_Si2NiRh
_chemical_formula_sum 'Si2 Ni1 Rh1'
_cell_length_a 7.6972
_cell_length_b 7.6972
_cell_length_c 7.6972
_cell_angle_alpha 20.84
_cell_angle_beta 20.84
_cell_angle_gamma 20.84
_space_group_name_H-M_alt 'P 1'
_space_group_IT_number 1
_space_group_name_Hall 'P 1'
loop_
_atom_site_label
_atom_site_fract_x
_atom_site_fract_y
_atom_site_fract_z
_atom_site_occupancy
Si1 0.2470 0.2470 0.2470 1
Si2 0.7530 0.7530 0.7530 1
Ni1 0.5000 0.5000 0.5000 1
Rh1 0.0000 0.0000 0.0000 1
# E_tot ... -6.429 eV/atom

=====

[5]
# Pr3AgN | Alexandria via LeMat-Bulk | PBE | relaxed
data_Pr3AgN
_chemical_formula_sum 'Pr3 Ag1 N1'
_cell_length_a 5.0560
_cell_length_b 5.0560
_cell_length_c 5.0560
_cell_angle_alpha 90.00
_cell_angle_beta 90.00
_cell_angle_gamma 90.00
_space_group_name_H-M_alt 'P 1'
_space_group_IT_number 1
_space_group_name_Hall 'P 1'
loop_
_atom_site_label
_atom_site_fract_x
_atom_site_fract_y
_atom_site_fract_z
_atom_site_occupancy
Pr1 0.0000 0.0000 0.5000 1
Pr2 0.0000 0.5000 0.0000 1
Pr3 0.5000 0.0000 0.0000 1
Ag1 0.5000 0.5000 0.5000 1
N1 0.0000 0.0000 0.0000 1
# E above lowest polymorph ... 62 meV/atom

=====

[6]
# Tm8AuC4 | Alexandria via LeMat-Bulk | PBE | relaxed
data_Tm8AuC4
_chemical_formula_sum 'Tm8 Au1 C4'
_cell_length_a 8.7475
_cell_length_b 8.7475
_cell_length_c 12.1030
_cell_angle_alpha 133.75
_cell_angle_beta 133.75
_cell_angle_gamma 23.71
_space_group_name_H-M_alt 'P 1'
_space_group_IT_number 1
_space_group_name_Hall 'P 1'
loop_
_atom_site_label
_atom_site_fract_x
_atom_site_fract_y
_atom_site_fract_z
_atom_site_occupancy
Tm1 0.0460 0.0460 0.2051 1
Tm2 0.3191 0.3191 0.4637 1
Tm3 0.3413 0.3413 0.8873 1
Tm4 0.3553 0.3553 0.1746 1
Tm5 0.6447 0.6447 0.8254 1
Tm6 0.6587 0.6587 0.1127 1
Tm7 0.6809 0.6809 0.5363 1
Tm8 0.9540 0.9540 0.7949 1
Au1 0.0000 0.0000 0.5000 1
C1 0.1538 0.1538 0.9758 1
C2 0.3222 0.3222 0.6682 1
C3 0.6778 0.6778 0.3318 1
C4 0.8462 0.8462 0.0242 1
# DFT formation energy ... -0.35 eV per atom

=====

[7]
# PmNpRh4 | Alexandria via LeMat-Bulk | PBE | relaxed
data_PmNpRh4
_chemical_formula_sum 'Pm1 Np1 Rh4'
_cell_length_a 5.3566
_cell_length_b 5.3566
_cell_length_c 5.3566
_cell_angle_alpha 60.00
_cell_angle_beta 60.00
_cell_angle_gamma 60.00
_space_group_name_H-M_alt 'P 1'
_space_group_IT_number 1
_space_group_name_Hall 'P 1'
loop_
_atom_site_label
_atom_site_fract_x
_atom_site_fract_y
_atom_site_fract_z
_atom_site_occupancy
Pm1 0.0000 0.0000 0.0000 1
Np1 0.2500 0.2500 0.2500 1
Rh1 0.1259 0.6247 0.6247 1
Rh2 0.6247 0.1259 0.6247 1
Rh3 0.6247 0.6247 0.1259 1
Rh4 0.6247 0.6247 0.6247 1
# DFT formation energy ... -0.48 eV per atom

=====

[8]
# CaSc2Cl | Alexandria via LeMat-Bulk | PBE | relaxed
data_CaSc2Cl
_chemical_formula_sum 'Ca1 Sc2 Cl1'
_cell_length_a 6.4670
_cell_length_b 6.4670
_cell_length_c 6.4670
_cell_angle_alpha 150.87
_cell_angle_beta 130.80
_cell_angle_gamma 58.20
_space_group_name_H-M_alt 'P 1'
_space_group_IT_number 1
_space_group_name_Hall 'P 1'
loop_
_atom_site_label
_atom_site_fract_x
_atom_site_fract_y
_atom_site_fract_z
_atom_site_occupancy
Ca1 0.0000 0.0000 0.0000 1
Sc1 0.2897 0.7897 0.5000 1
Sc2 0.7103 0.2103 0.5000 1
Cl1 0.5000 0.5000 0.0000 1
# E above lowest polymorph ... 218 meV/atom

=====

[9]
# Ho8Tm6In | Alexandria via LeMat-Bulk | PBE | relaxed
data_Ho8Tm6In
_chemical_formula_sum 'Ho8 Tm6 In1'
_cell_length_a 8.4032
_cell_length_b 8.4032
_cell_length_c 8.4032
_cell_angle_alpha 63.77
_cell_angle_beta 63.77
_cell_angle_gamma 63.77
_space_group_name_H-M_alt 'P 1'
_space_group_IT_number 1
_space_group_name_Hall 'P 1'
loop_
_atom_site_label
_atom_site_fract_x
_atom_site_fract_y
_atom_site_fract_z
_atom_site_occupancy
Ho1 0.0759 0.0759 0.0759 1
Ho2 0.2153 0.6086 0.2489 1
Ho3 0.2489 0.2153 0.6086 1
Ho4 0.3914 0.7511 0.7847 1
Ho5 0.6086 0.2489 0.2153 1
Ho6 0.7511 0.7847 0.3914 1
Ho7 0.7847 0.3914 0.7511 1
Ho8 0.9241 0.9241 0.9241 1
Tm1 0.0489 0.6064 0.7322 1
Tm2 0.2678 0.9511 0.3936 1
Tm3 0.3936 0.2678 0.9511 1
Tm4 0.6064 0.7322 0.0489 1
Tm5 0.7322 0.0489 0.6064 1
Tm6 0.9511 0.3936 0.2678 1
In1 0.5000 0.5000 0.5000 1
# DFT formation energy ... 0.03 eV per atom
# E above lowest polymorph ... 0 meV/atom

=====

[10]
# Ac4CoHI2 | Alexandria via LeMat-Bulk | PBE | relaxed
data_Ac4CoHI2
_chemical_formula_sum 'Ac4 Co1 H1 I2'
_cell_length_a 7.2107
_cell_length_b 4.2486
_cell_length_c 8.9065
_cell_angle_alpha 90.00
_cell_angle_beta 105.50
_cell_angle_gamma 90.00
_space_group_name_H-M_alt 'P 1'
_space_group_IT_number 1
_space_group_name_Hall 'P 1'
loop_
_atom_site_label
_atom_site_fract_x
_atom_site_fract_y
_atom_site_fract_z
_atom_site_occupancy
Ac1 0.2309 0.0000 0.1779 1
Ac2 0.2649 0.5000 0.8119 1
Ac3 0.7351 0.5000 0.1881 1
Ac4 0.7691 0.0000 0.8221 1
Co1 0.0000 0.5000 0.0000 1
H1 0.5000 0.0000 0.0000 1
I1 0.0000 0.0000 0.5000 1
I2 0.5000 0.5000 0.5000 1
# E_tot ... -4.352 eV/atom